# NdMnSeO2

NdMnSeO2 after structural relaxation (GGA+U, Alexandria).

The value obtained for the total energy is -71.49 eV for the cell shown. Its space-group type is No. 63. The calculation puts the total moment at 8.0 μB per cell. As for the crystal system: orthorhombic.

a = 5.474 Å, b = 5.553 Å, c = 6.521 Å
α = 115.20°, β = 90.00°, γ = 90.00°
Element x y z (fractional)
Nd1 0.250 0.629 0.258
Nd2 0.750 0.371 0.742
Mn1 0.250 0.989 0.977
Mn2 0.750 0.011 0.023
Se1 0.750 0.759 0.517
Se2 0.250 0.241 0.483
O1 0.500 0.242 0.000
O2 0.000 0.758 0.000
O3 0.500 0.758 0.000
O4 0.000 0.242 0.000